Record 1
Sr4AgN: relaxed, GGA-PBE.

Cell lengths 15.751, 5.243, 11.756 Å; angles 90.00, 112.28, 90.00 degrees
Space group C2/m (No. 12)
Symmetry-distinct sites (fractional):
Sr 0.074 0.000 0.392 (multiplicity 4)
Sr 0.092 0.500 0.703 (multiplicity 4)
Sr 0.119 0.000 0.948 (multiplicity 4)
Sr 0.241 0.500 0.262 (multiplicity 4)
Ag 0.204 0.500 0.520 (multiplicity 4)
N 0.096 0.000 0.733 (multiplicity 4)

Values from the calculation:
* energy above the lowest structure with this stoichiometry: 8 kJ/mol of formula units
* formation energy from raw total energies: -0.284 eV/atom


Record 2
Sr12Ag3N5: relaxed, GGA-PBE.

Cell lengths 16.961, 16.961, 16.961 Å; angles 90.00, 90.00, 90.00 degrees
Space group Ia-3d (No. 230)
Symmetry-distinct sites (fractional):
Sr 0.034 0.047 0.649 (multiplicity 96)
Ag 0.000 0.250 0.125 (multiplicity 24)
N 0.000 0.000 0.000 (multiplicity 16)
N 0.000 0.250 0.375 (multiplicity 24)

Values from the calculation:
* formation energy from raw total energies: -0.348 eV/atom